Run a
# Li2Tl2As GGA-PBE optimized geometry
# D(E_F)   3.54 states/eV per cell
data_Li2Tl2As
_chemical_formula_sum 'Li4 Tl4 As2'
_cell_length_a 8.008
_cell_length_b 8.008
_cell_length_c 3.386
_cell_angle_alpha 90.00
_cell_angle_beta 90.00
_cell_angle_gamma 90.00
_space_group_name_H-M_alt 'P 4/m b m'
_space_group_IT_number 127
_space_group_name_Hall '-P 4 2ab'
loop_
_atom_site_label
_atom_site_type_symbol
_atom_site_fract_x
_atom_site_fract_y
_atom_site_fract_z
Li1 Li 0.163 0.337 0.000
Tl1 Tl 0.140 0.640 0.500
As1 As 0.000 0.000 0.500

Run b
# Li2Tl2As GGA-PBE optimized geometry
# D(E_F)   2.98 states/eV per cell
data_Li2Tl2As
_chemical_formula_sum 'Li4 Tl4 As2'
_cell_length_a 6.742
_cell_length_b 6.742
_cell_length_c 5.064
_cell_angle_alpha 90.00
_cell_angle_beta 90.00
_cell_angle_gamma 90.00
_space_group_name_H-M_alt 'P 4/m b m'
_space_group_IT_number 127
_space_group_name_Hall '-P 4 2ab'
loop_
_atom_site_label
_atom_site_type_symbol
_atom_site_fract_x
_atom_site_fract_y
_atom_site_fract_z
Li1 Li 0.163 0.337 0.000
Tl1 Tl 0.178 0.678 0.500
As1 As 0.000 0.000 0.000

The most stable arrangement is run b, and the next structure is 191 meV/atom less stable.

Run a
# LiYAs GGA-PBE optimized geometry
# D(E_F)   6.26 states/eV per cell
data_LiYAs
_chemical_formula_sum 'Li4 Y4 As4'
_cell_length_a 6.660
_cell_length_b 6.660
_cell_length_c 6.660
_cell_angle_alpha 90.00
_cell_angle_beta 90.00
_cell_angle_gamma 90.00
_space_group_name_H-M_alt 'F -4 3 m'
_space_group_IT_number 216
_space_group_name_Hall 'F -4 2 3'
loop_
_atom_site_label
_atom_site_type_symbol
_atom_site_fract_x
_atom_site_fract_y
_atom_site_fract_z
Li1 Li 0.000 0.000 0.000
Y1 Y 0.250 0.250 0.750
As1 As 0.000 0.000 0.500

Run b
# LiYAs GGA-PBE optimized geometry
# D(E_F)   4.00 states/eV per cell
data_LiYAs
_chemical_formula_sum 'Li2 Y2 As2'
_cell_length_a 3.942
_cell_length_b 3.942
_cell_length_c 8.180
_cell_angle_alpha 90.00
_cell_angle_beta 90.00
_cell_angle_gamma 90.00
_space_group_name_H-M_alt 'I 4 m m'
_space_group_IT_number 107
_space_group_name_Hall 'I 4 -2'
loop_
_atom_site_label
_atom_site_type_symbol
_atom_site_fract_x
_atom_site_fract_y
_atom_site_fract_z
Li1 Li 0.000 0.000 0.000
Y1 Y 0.000 0.000 0.659
As1 As 0.000 0.000 0.305

The most stable arrangement is run b, and the next structure is 195 meV/atom less stable.

Run a
# LiYAs GGA-PBE optimized geometry
# D(E_F)   9.70 states/eV per cell
data_LiYAs
_chemical_formula_sum 'Li4 Y4 As4'
_cell_length_a 4.681
_cell_length_b 5.650
_cell_length_c 9.946
_cell_angle_alpha 90.00
_cell_angle_beta 90.00
_cell_angle_gamma 90.00
_space_group_name_H-M_alt 'F m m 2'
_space_group_IT_number 42
_space_group_name_Hall 'F 2 -2'
loop_
_atom_site_label
_atom_site_type_symbol
_atom_site_fract_x
_atom_site_fract_y
_atom_site_fract_z
Li1 Li 0.000 0.000 0.000
Y1 Y 0.000 0.000 0.285
As1 As 0.000 0.000 0.619

Run b
# LiYAs GGA-PBE optimized geometry
# D(E_F)   4.40 states/eV per cell
data_LiYAs
_chemical_formula_sum 'Li2 Y2 As2'
_cell_length_a 4.2505
_cell_length_b 4.2505
_cell_length_c 7.4029
_cell_angle_alpha 90.00
_cell_angle_beta 90.00
_cell_angle_gamma 120.00
_space_group_name_H-M_alt 'P 63/m m c'
_space_group_IT_number 194
_space_group_name_Hall '-P 6c 2c'
loop_
_atom_site_label
_atom_site_type_symbol
_atom_site_fract_x
_atom_site_fract_y
_atom_site_fract_z
Li1 Li 0.3333 0.6667 0.2500
Y1 Y 0.0000 0.0000 0.0000
As1 As 0.3333 0.6667 0.7500

The most stable arrangement is run b, and the next structure is 427 meV/atom less stable.

Run a
# LiYAs GGA-PBE optimized geometry
# D(E_F)   1.77 states/eV per cell
data_LiYAs
_chemical_formula_sum 'Li1 Y1 As1'
_cell_length_a 4.1454
_cell_length_b 4.1454
_cell_length_c 3.9675
_cell_angle_alpha 90.00
_cell_angle_beta 90.00
_cell_angle_gamma 120.00
_space_group_name_H-M_alt 'P -6 m 2'
_space_group_IT_number 187
_space_group_name_Hall 'P -6 2'
loop_
_atom_site_label
_atom_site_type_symbol
_atom_site_fract_x
_atom_site_fract_y
_atom_site_fract_z
Li1 Li 0.0000 0.0000 0.0000
Y1 Y 0.6667 0.3333 0.5000
As1 As 0.3333 0.6667 0.0000

Run b
# LiYAs GGA-PBE optimized geometry
# D(E_F)   7.85 states/eV per cell
data_LiYAs
_chemical_formula_sum 'Li4 Y4 As4'
_cell_length_a 6.514
_cell_length_b 6.514
_cell_length_c 6.514
_cell_angle_alpha 90.00
_cell_angle_beta 90.00
_cell_angle_gamma 90.00
_space_group_name_H-M_alt 'F -4 3 m'
_space_group_IT_number 216
_space_group_name_Hall 'F -4 2 3'
loop_
_atom_site_label
_atom_site_type_symbol
_atom_site_fract_x
_atom_site_fract_y
_atom_site_fract_z
Li1 Li 0.000 0.000 0.000
Y1 Y 0.000 0.000 0.500
As1 As 0.250 0.250 0.750

The most stable arrangement is run a, and the next structure is 95 meV/atom less stable.